Computed, not measured: crystalline Os2AuSe at its relaxed geometry at the PBE level of DFT.

The structure in POSCAR format:
```
Os2AuSe
1.0
3.032 0.000 0.000
0.000 3.032 0.000
0.000 0.000 6.783
Au Os Se
1 2 1
direct
0.500 0.500 0.750
0.000 0.000 0.031
0.000 0.000 0.469
0.500 0.500 0.250
```

Values from the calculation:
ΔE_f (raw): 0.8514 eV per atom

---

Computed, not measured: crystalline ErScRu2 at its relaxed geometry at the PBE level of DFT.

The structure in POSCAR format:
```
ErScRu2
1.0
-2.236 0.848 -3.989
-2.031 -3.486 -2.314
-4.639 -0.285 -0.172
Sc Ru Er
1 2 1
direct
0.750 0.750 0.750
0.000 0.000 0.000
0.500 0.500 0.500
0.250 0.250 0.250
```

Values from the calculation:
E: -7.815 eV/atom

---

Computed, not measured: crystalline AcSm2Ga at its relaxed geometry at the PBE level of DFT.

The structure in POSCAR format:
```
AcSm2Ga
1.0
-0.747 0.558 -4.362
-1.765 -6.304 1.780
-8.454 2.880 1.815
Ac Sm Ga
2 4 2
direct
0.940 0.880 0.250
0.060 0.120 0.750
0.352 0.704 0.555
0.648 0.296 0.445
0.352 0.704 0.945
0.648 0.296 0.055
0.759 0.518 0.750
0.241 0.482 0.250
```

Values from the calculation:
E: -4.373 eV/atom

---

Computed, not measured: crystalline CeYEr4 at its relaxed geometry at the PBE level of DFT.

The structure in POSCAR format:
```
CeYEr4
1.0
6.605 0.000 0.000
0.000 11.424 0.000
-3.302 -5.712 5.011
Ce Y Er
2 2 8
direct
0.500 0.500 0.000
0.500 0.000 0.000
0.500 0.000 0.500
0.000 0.000 0.500
0.832 0.827 0.665
0.168 0.665 0.830
0.662 0.665 0.830
0.832 0.337 0.665
0.168 0.663 0.335
0.832 0.335 0.170
0.338 0.335 0.170
0.168 0.173 0.335
```

Values from the calculation:
E: -4.828 eV/atom

---

Computed, not measured: crystalline Er6Sb3AsSe2 at its relaxed geometry at the PBE level of DFT.

The structure in POSCAR format:
```
Er6Sb3AsSe2
1.0
7.292 -0.005 0.002
-3.648 6.313 0.002
-1.213 -2.100 6.866
Er Sb As Se
6 3 1 2
direct
0.921 0.595 0.763
0.754 0.754 0.240
0.079 0.405 0.237
0.595 0.921 0.763
0.246 0.246 0.760
0.405 0.079 0.237
0.169 0.831 0.500
0.831 0.169 0.500
0.500 0.500 0.500
0.000 0.000 0.000
0.334 0.666 0.000
0.666 0.334 0.000
```

Values from the calculation:
ΔE_f (raw): -1.3866 eV per atom

---

Computed, not measured: crystalline MgInCl2 at its relaxed geometry at the PBE level of DFT.

The structure in POSCAR format:
```
MgInCl2
1.0
6.334 -0.022 0.101
5.411 3.294 0.101
1.776 0.495 5.672
Cl In Mg
2 1 1
direct
0.904 0.904 0.148
0.723 0.723 0.829
0.585 0.585 0.474
0.287 0.287 0.050
```

Values from the calculation:
ΔE_f (raw): -1.0034 eV per atom

---

Computed, not measured: crystalline Sr2La4Pb3O2 at its relaxed geometry at the PBE level of DFT.

The structure in POSCAR format:
```
Sr2La4Pb3O2
1.0
-4.492 0.851 2.077
1.998 -0.602 4.568
3.980 12.991 -2.789
Sr La Pb O
2 4 3 2
direct
0.302 0.302 0.603
0.698 0.698 0.397
0.414 0.914 0.828
0.914 0.414 0.828
0.086 0.586 0.172
0.586 0.086 0.172
0.000 0.000 0.000
0.172 0.172 0.344
0.828 0.828 0.656
0.402 0.402 0.805
0.598 0.598 0.195
```

Values from the calculation:
ΔE_f (raw): -1.4197 eV per atom

---

Computed, not measured: crystalline Tm5Sc6 at its relaxed geometry at the PBE level of DFT.

The structure in POSCAR format:
```
Tm5Sc6
1.0
8.401 0.000 -0.663
4.200 6.268 -0.332
2.288 0.000 5.574
Tm Sc
5 6
direct
0.500 0.000 0.500
0.366 0.268 0.000
0.634 0.732 0.000
0.237 0.526 0.500
0.763 0.474 0.500
0.845 0.000 0.693
0.155 0.000 0.307
0.298 0.751 0.829
0.951 0.751 0.171
0.702 0.249 0.171
0.049 0.249 0.829
```

Values from the calculation:
E: -5.327 eV/atom

---

Computed, not measured: crystalline LaIn4W at its relaxed geometry at the PBE level of DFT.

The structure in POSCAR format:
```
LaIn4W
1.0
0.000 4.157 4.157
4.157 0.000 4.157
4.157 4.157 0.000
La In W
1 4 1
direct
0.750 0.750 0.750
0.877 0.374 0.374
0.374 0.374 0.877
0.374 0.877 0.374
0.374 0.374 0.374
0.000 0.000 0.000
```

Values from the calculation:
E: -4.403 eV/atom

---

Computed, not measured: crystalline TmInCu6 at its relaxed geometry at the PBE level of DFT.

The structure in POSCAR format:
```
TmInCu6
1.0
4.955 0.000 0.000
0.000 4.955 0.000
0.000 0.000 4.955
Tm In Cu
1 1 6
direct
0.500 0.500 0.500
0.000 0.000 0.000
0.500 0.753 0.000
0.753 0.000 0.500
0.000 0.500 0.247
0.247 0.000 0.500
0.500 0.247 0.000
0.000 0.500 0.753
```

Values from the calculation:
E: -3.978 eV/atom

---

Computed, not measured: crystalline Rb2Ba2Pb15 at its relaxed geometry at the PBE level of DFT.

The structure in POSCAR format:
```
Rb2Ba2Pb15
1.0
8.940 0.101 0.090
1.260 8.851 0.090
1.260 1.106 8.783
Rb Ba Pb
2 2 15
direct
0.353 0.353 0.353
0.647 0.647 0.647
0.105 0.105 0.105
0.895 0.895 0.895
0.500 0.000 0.000
0.000 0.000 0.500
0.000 0.500 0.000
0.000 0.705 0.295
0.705 0.295 0.000
0.295 0.000 0.705
0.295 0.705 0.000
0.705 0.000 0.295
0.000 0.295 0.705
0.158 0.646 0.646
0.646 0.646 0.158
0.646 0.158 0.646
0.842 0.354 0.354
0.354 0.354 0.842
0.354 0.842 0.354
```

Values from the calculation:
E: -3.397 eV/atom

---

Computed, not measured: crystalline Pm2NpSe4 at its relaxed geometry at the PBE level of DFT.

The structure in POSCAR format:
```
Pm2NpSe4
1.0
4.086 0.000 0.000
-2.043 6.911 0.000
0.000 0.000 13.946
Pm Np Se
4 2 8
direct
0.133 0.265 0.431
0.867 0.735 0.931
0.133 0.265 0.069
0.867 0.735 0.569
0.622 0.244 0.750
0.378 0.756 0.250
0.776 0.552 0.126
0.776 0.552 0.374
0.224 0.448 0.874
0.224 0.448 0.626
0.970 0.941 0.750
0.030 0.059 0.250
0.500 0.000 0.000
0.500 0.000 0.500
```

Values from the calculation:
ΔE_f (raw): -1.5902 eV per atom

---

Computed, not measured: crystalline TiCr2Ag2 at its relaxed geometry at the PBE level of DFT.

The structure in POSCAR format:
```
TiCr2Ag2
1.0
7.600 0.000 0.000
0.000 7.600 0.000
0.000 0.000 2.781
Cr Ag Ti
4 4 2
direct
0.412 0.912 0.000
0.912 0.588 0.000
0.588 0.088 0.000
0.088 0.412 0.000
0.201 0.701 0.500
0.701 0.799 0.500
0.799 0.299 0.500
0.299 0.201 0.500
0.000 0.000 0.000
0.500 0.500 0.000
```

Values from the calculation:
E: -5.972 eV/atom

---

Computed, not measured: crystalline GaHgAu4 at its relaxed geometry at the PBE level of DFT.

The structure in POSCAR format:
```
GaHgAu4
1.0
5.588 0.000 0.905
0.000 6.754 0.000
-0.507 -3.377 6.686
Ga Hg Au
2 2 8
direct
0.254 0.544 0.088
0.746 0.456 0.912
0.836 0.786 0.572
0.164 0.214 0.428
0.318 0.733 0.465
0.443 0.114 0.797
0.000 0.202 0.000
0.557 0.317 0.203
0.682 0.267 0.535
0.557 0.886 0.203
0.000 0.798 0.000
0.443 0.683 0.797
```

Values from the calculation:
E: -2.723 eV/atom

---

Computed, not measured: crystalline LiMgCl2 at its relaxed geometry at the PBE level of DFT.

The structure in POSCAR format:
```
LiMgCl2
1.0
0.000 3.452 3.452
3.452 0.000 3.452
3.452 3.452 0.000
Mg Li Cl
1 1 2
direct
0.500 0.500 0.500
0.000 0.000 0.000
0.250 0.250 0.250
0.750 0.750 0.750
```

Values from the calculation:
ΔE_f (raw): -0.9812 eV per atom

---

Computed, not measured: crystalline CaNdEuDy at its relaxed geometry at the PBE level of DFT.

The structure in POSCAR format:
```
CaNdEuDy
1.0
5.919 0.000 0.000
2.960 5.126 0.000
2.960 1.709 4.833
Eu Ca Nd Dy
1 1 1 1
direct
0.500 0.500 0.500
0.250 0.250 0.250
0.000 0.000 0.000
0.750 0.750 0.750
```

Values from the calculation:
E: -5.282 eV/atom

---

Computed, not measured: crystalline Pm2Rh3Au at its relaxed geometry at the PBE level of DFT.

The structure in POSCAR format:
```
Pm2Rh3Au
1.0
-1.975 2.119 -4.670
0.666 -5.433 0.487
-3.024 0.038 4.525
Pm Rh Au
2 3 1
direct
0.752 0.376 0.128
0.248 0.624 0.872
0.500 0.500 0.500
0.000 0.000 0.500
0.500 0.000 0.500
0.000 0.000 0.000
```

Values from the calculation:
E: -6.459 eV/atom

---

Computed, not measured: crystalline Y6Zn2S at its relaxed geometry at the PBE level of DFT.

The structure in POSCAR format:
```
Y6Zn2S
1.0
6.565 0.000 -0.106
0.000 7.306 0.000
0.162 0.000 10.139
Y Zn S
12 4 2
direct
0.140 0.029 0.248
0.176 0.326 0.557
0.163 0.305 0.940
0.337 0.805 0.560
0.324 0.826 0.943
0.360 0.529 0.252
0.860 0.971 0.752
0.824 0.674 0.443
0.837 0.695 0.060
0.663 0.195 0.440
0.676 0.174 0.057
0.640 0.471 0.748
0.066 0.606 0.753
0.434 0.106 0.747
0.566 0.894 0.253
0.934 0.394 0.247
0.500 0.500 0.000
0.000 0.000 0.500
```

Values from the calculation:
ΔE_f (raw): -0.5718 eV per atom

---

Computed, not measured: crystalline KBaSCl at its relaxed geometry at the PBE level of DFT.

The structure in POSCAR format:
```
KBaSCl
1.0
4.470 0.000 0.000
-2.235 3.872 0.000
-2.235 -1.290 7.906
K Ba S Cl
1 1 1 1
direct
0.123 0.959 0.098
0.489 0.142 0.647
0.293 0.544 0.853
0.973 0.385 0.373
```

Values from the calculation:
ΔE_f (raw): -1.8903 eV per atom

---

Computed, not measured: crystalline NaTi2Ga2 at its relaxed geometry at the PBE level of DFT.

The structure in POSCAR format:
```
NaTi2Ga2
1.0
-2.222 -7.673 1.526
1.668 -2.015 -7.701
2.612 -0.612 0.726
Na Ga Ti
2 4 4
direct
0.000 0.000 0.000
0.500 0.500 0.000
0.176 0.676 0.500
0.676 0.824 0.500
0.824 0.324 0.500
0.324 0.176 0.500
0.380 0.880 0.000
0.880 0.620 0.000
0.620 0.120 0.000
0.120 0.380 0.000
```

Values from the calculation:
E: -4.791 eV/atom